## La2PmY (GGA-PBE)

Data for an optimized crystal structure of La2PmY. Values from VASP.

Results
Total magnetization, μB per atom: 0.0000
DFT formation energy, eV per formula unit: 0.03
ΔE to the lowest computed polymorph, eV/atom: 0.000

Geometry as Quantum ESPRESSO input:
```
&SYSTEM
  ibrav = 0, nat = 4, ntyp = 3
/
ATOMIC_SPECIES
La 138.91 La.upf
Pm 145.00 Pm.upf
Y 88.91 Y.upf
CELL_PARAMETERS angstrom
1.8450 1.0652 11.8735
-1.8450 1.0652 11.8735
0.0000 -2.1305 11.8735
ATOMIC_POSITIONS crystal
La 0.2493 0.2493 0.2493
La 0.7507 0.7507 0.7507
Pm 0.0000 0.0000 0.0000
Y 0.5000 0.5000 0.5000
```

---

## Zn (GGA-PBE)

Data for an optimized crystal structure of Zn. Values from VASP.

Results
Total magnetization, μB per atom: 0.0000
DFT formation energy, eV per formula unit: 0.18
ΔE to the lowest computed polymorph, eV/atom: 0.183

Geometry as Quantum ESPRESSO input:
```
&SYSTEM
  ibrav = 0, nat = 2, ntyp = 1
/
ATOMIC_SPECIES
Zn 65.41 Zn.upf
CELL_PARAMETERS angstrom
-2.5927 2.5927 1.2886
2.5927 -2.5927 1.2886
2.5927 2.5927 -1.2886
ATOMIC_POSITIONS crystal
Zn 0.3750 0.6250 0.7500
Zn 0.6250 0.3750 0.2500
```

---

## CrOs2W (GGA-PBE)

Data for an optimized crystal structure of CrOs2W. Values from VASP.

Results
Total magnetization, μB per atom: 0.0002
DFT formation energy, eV per formula unit: 1.03
ΔE to the lowest computed polymorph, eV/atom: 0.167

Geometry as Quantum ESPRESSO input:
```
&SYSTEM
  ibrav = 0, nat = 4, ntyp = 3
/
ATOMIC_SPECIES
Cr 52.00 Cr.upf
Os 190.23 Os.upf
W 183.84 W.upf
CELL_PARAMETERS angstrom
-1.5102 2.1854 4.3444
1.5102 -2.1854 4.3444
1.5102 2.1854 -4.3444
ATOMIC_POSITIONS crystal
Cr 0.0000 0.0000 0.0000
Os 0.2434 0.7434 0.5000
Os 0.5205 0.5205 0.0000
W 0.7757 0.2757 0.5000
```

---

## Er8GeSb4Se3 (GGA-PBE)

Data for an optimized crystal structure of Er8GeSb4Se3. Values from VASP.

Results
Total magnetization, μB per atom: 0.0000
Raw formation energy, eV/atom: -1.3263

Geometry as Quantum ESPRESSO input:
```
&SYSTEM
  ibrav = 0, nat = 16, ntyp = 4
/
ATOMIC_SPECIES
Er 167.26 Er.upf
Ge 72.64 Ge.upf
Sb 121.76 Sb.upf
Se 78.96 Se.upf
CELL_PARAMETERS angstrom
4.2102 2.4308 6.8922
-4.2102 2.4308 6.8922
0.0000 -4.8615 6.8922
ATOMIC_POSITIONS crystal
Er 0.2476 0.2476 0.2476
Er 0.2526 0.7417 0.7417
Er 0.2583 0.2583 0.7474
Er 0.2583 0.7474 0.2583
Er 0.7417 0.2526 0.7417
Er 0.7417 0.7417 0.2526
Er 0.7474 0.2583 0.2583
Er 0.7524 0.7524 0.7524
Ge 0.5000 0.5000 0.5000
Sb 0.0000 0.0000 0.0000
Sb 0.0000 0.5000 0.5000
Sb 0.5000 0.0000 0.5000
Sb 0.5000 0.5000 0.0000
Se 0.0000 0.0000 0.5000
Se 0.0000 0.5000 0.0000
Se 0.5000 0.0000 0.0000
```

---

Repeat the fourth record exactly.
## Er8GeSb4Se3 (GGA-PBE)

Data for an optimized crystal structure of Er8GeSb4Se3. Values from VASP.

Results
Total magnetization, μB per atom: 0.0000
Raw formation energy, eV/atom: -1.3263

Geometry as Quantum ESPRESSO input:
```
&SYSTEM
  ibrav = 0, nat = 16, ntyp = 4
/
ATOMIC_SPECIES
Er 167.26 Er.upf
Ge 72.64 Ge.upf
Sb 121.76 Sb.upf
Se 78.96 Se.upf
CELL_PARAMETERS angstrom
4.2102 2.4308 6.8922
-4.2102 2.4308 6.8922
0.0000 -4.8615 6.8922
ATOMIC_POSITIONS crystal
Er 0.2476 0.2476 0.2476
Er 0.2526 0.7417 0.7417
Er 0.2583 0.2583 0.7474
Er 0.2583 0.7474 0.2583
Er 0.7417 0.2526 0.7417
Er 0.7417 0.7417 0.2526
Er 0.7474 0.2583 0.2583
Er 0.7524 0.7524 0.7524
Ge 0.5000 0.5000 0.5000
Sb 0.0000 0.0000 0.0000
Sb 0.0000 0.5000 0.5000
Sb 0.5000 0.0000 0.5000
Sb 0.5000 0.5000 0.0000
Se 0.0000 0.0000 0.5000
Se 0.0000 0.5000 0.0000
Se 0.5000 0.0000 0.0000
```

---

Q: Which value of total magnetization does entry 4 give?
A: 0.0000 μB per atom

---

Q: Which value of total magnetization does entry 4 give?
A: 0.0000 μB per atom

---

Q: What is the formula in the second record?
A: Zn